MnGa2Ru | PBE-GGA | relaxed Values from VASP.

Output
Space group = P4/mmm
Magnetization = 2.7 μB per formula unit
Calculated density = 8.9 g/cm³
Total energy = -25.31 eV/cell
Density of states at the Fermi level = 1.99 states/eV/cell
DFT formation energy = -0.2025 eV/atom

Quantum ESPRESSO input file:
```
&SYSTEM
  ibrav = 0, nat = 4, ntyp = 3
/
ATOMIC_SPECIES
Mn 54.94 Mn.upf
Ru 101.07 Ru.upf
Ga 69.72 Ga.upf
CELL_PARAMETERS angstrom
3.0410 0.0000 0.0000
0.0000 3.0410 0.0000
0.0000 0.0000 5.9788
ATOMIC_POSITIONS crystal
Mn 0.5000 0.5000 0.5000
Ru 0.5000 0.5000 0.0000
Ga 0.0000 0.0000 0.2424
Ga 0.0000 0.0000 0.7576
```

Mn5GaRu6 | PBE-GGA | relaxed Values from VASP.

Output
Space group = Cmmm
Magnetization = 14.5 μB per formula unit
Calculated density = 9.7 g/cm³
Total energy = -105.26 eV/cell
Density of states at the Fermi level = 7.65 states/eV/cell
DFT formation energy = -0.0605 eV/atom

Quantum ESPRESSO input file:
```
&SYSTEM
  ibrav = 0, nat = 12, ntyp = 3
/
ATOMIC_SPECIES
Mn 54.94 Mn.upf
Ru 101.07 Ru.upf
Ga 69.72 Ga.upf
CELL_PARAMETERS angstrom
4.1491 0.0015 -0.8784
-0.0022 6.0042 -0.0003
-0.7589 0.0001 6.6621
ATOMIC_POSITIONS crystal
Mn 0.3319 0.5000 0.6642
Mn 0.0000 0.5000 0.0000
Mn 0.3340 0.0000 0.6685
Mn 0.6681 0.5000 0.3358
Mn 0.6660 0.0000 0.3315
Ru 0.1682 0.7477 0.3359
Ru 0.5000 0.2559 0.0000
Ru 0.8318 0.2523 0.6641
Ru 0.1682 0.2523 0.3359
Ru 0.8318 0.7477 0.6641
Ru 0.5000 0.7441 0.0000
Ga 0.0000 0.0000 0.0000
```

MnGa4Ru5 | PBE-GGA | relaxed Values from VASP.

Output
Space group = P4/mmm
Magnetization = 2.2 μB per formula unit
Calculated density = 10.1 g/cm³
Total energy = -70.21 eV/cell
Density of states at the Fermi level = 7.93 states/eV/cell
DFT formation energy = -0.2556 eV/atom

Quantum ESPRESSO input file:
```
&SYSTEM
  ibrav = 0, nat = 10, ntyp = 3
/
ATOMIC_SPECIES
Ru 101.07 Ru.upf
Ga 69.72 Ga.upf
Mn 54.94 Mn.upf
CELL_PARAMETERS angstrom
3.0229 0.0000 0.0000
0.0000 3.0229 0.0000
0.0000 0.0000 15.0807
ATOMIC_POSITIONS crystal
Ru 0.5000 0.5000 0.7023
Ru 0.5000 0.5000 0.2977
Ru 0.5000 0.5000 0.0965
Ru 0.5000 0.5000 0.5000
Ru 0.5000 0.5000 0.9035
Ga 0.0000 0.0000 0.8013
Ga 0.0000 0.0000 0.1987
Ga 0.0000 0.0000 0.3991
Ga 0.0000 0.0000 0.6009
Mn 0.0000 0.0000 0.0000
```